A plane-wave DFT calculation with PBE was carried out for a geometry-optimized Pr2MgZn3Ga4 structure.

E   -3.18 eV per atom
ΔE_f   -0.468 eV per atom
V   201.8 Å³ per cell

Cell: 4.3062 4.3062 10.8828 Å, 90.00 90.00 90.00°
Positions (direct):
Pr1 0.5000 0.0000 0.2412
Pr2 0.0000 0.5000 0.7588
Ga1 0.5000 0.0000 0.6439
Ga2 0.0000 0.0000 0.0000
Ga3 0.5000 0.5000 0.0000
Ga4 0.0000 0.5000 0.3561
Zn1 0.0000 0.5000 0.1310
Zn2 0.0000 0.0000 0.5000
Zn3 0.5000 0.0000 0.8690
Mg1 0.5000 0.5000 0.5000